A relaxed structure of AgSbRu2, computed with PBE.

Calculated values
- Energy relative to the elements, uncorrected: 343 meV per atom

a = 10.038 Å, b = 3.027 Å, c = 4.722 Å
α = 90.00°, β = 111.60°, γ = 90.00°
Positions (direct):
Ag  0.000  0.000  0.000
Ag  0.500  0.500  0.000
Sb  0.281  0.500  0.405
Sb  0.781  0.000  0.405
Ru  0.034  0.500  0.520
Ru  0.250  0.000  0.906
Ru  0.534  0.000  0.520
Ru  0.750  0.500  0.906

***

A relaxed structure of SrTa2Mo, computed with PBE.

Calculated values
- Formation enthalpy at 0 K: 726.2 meV per atom

a = 2.839 Å, b = 2.839 Å, c = 10.342 Å
α = 90.00°, β = 90.00°, γ = 90.00°
Positions (direct):
Sr  0.000  0.000  0.000
Ta  0.000  0.000  0.511
Ta  0.500  0.500  0.294
Mo  0.500  0.500  0.730

***

A relaxed structure of TlInSe2, computed with PBE.

Calculated values
- Energy relative to the elements, uncorrected: -330 meV per atom

a = 4.345 Å, b = 3.788 Å, c = 7.639 Å
α = 90.00°, β = 99.72°, γ = 90.00°
Positions (direct):
Tl  0.000  0.000  0.000
In  0.500  0.000  0.500
Se  0.412  0.500  0.734
Se  0.588  0.500  0.266

***

A relaxed structure of KY5, computed with PBE.

Calculated values
- Formation enthalpy at 0 K: 267.5 meV per atom

a = 5.874 Å, b = 3.579 Å, c = 20.320 Å
α = 90.00°, β = 90.00°, γ = 90.00°
Positions (direct):
K  0.000  0.000  0.000
K  0.000  0.500  0.500
Y  0.000  0.000  0.326
Y  0.000  0.000  0.679
Y  0.000  0.500  0.179
Y  0.000  0.500  0.826
Y  0.500  0.000  0.232
Y  0.500  0.000  0.578
Y  0.500  0.000  0.887
Y  0.500  0.500  0.078
Y  0.500  0.500  0.387
Y  0.500  0.500  0.732

***

A relaxed structure of Tb4CSe2S, computed with PBE.

Calculated values
- Energy relative to the elements, uncorrected: -1569 meV per atom

a = 6.804 Å, b = 3.877 Å, c = 6.981 Å
α = 90.00°, β = 108.61°, γ = 90.00°
Positions (direct):
Tb  0.217  0.000  0.210
Tb  0.236  0.500  0.783
Tb  0.764  0.500  0.217
Tb  0.783  0.000  0.790
C  0.000  0.500  0.000
Se  0.000  0.000  0.500
Se  0.500  0.500  0.500
S  0.500  0.000  0.000

***

A relaxed structure of BeNb2SiPt, computed with PBE.

Calculated values
- Energy relative to the elements, uncorrected: 231 meV per atom

a = 4.390 Å, b = 4.390 Å, c = 4.160 Å
α = 90.00°, β = 90.00°, γ = 90.00°
Positions (direct):
Be  0.000  0.000  0.000
Nb  0.000  0.500  0.000
Nb  0.500  0.000  0.000
Si  0.500  0.500  0.500
Pt  0.000  0.000  0.500

***

A relaxed structure of Er5Bi2PC, computed with PBE.

Calculated values
- Formation enthalpy at 0 K: -703.8 meV per atom

a = 4.601 Å, b = 4.601 Å, c = 10.860 Å
α = 90.00°, β = 90.00°, γ = 90.00°
Positions (direct):
Er  0.000  0.000  0.000
Er  0.000  0.500  0.500
Er  0.500  0.000  0.500
Er  0.500  0.500  0.251
Er  0.500  0.500  0.749
Bi  0.000  0.000  0.285
Bi  0.000  0.000  0.715
P  0.500  0.500  0.000
C  0.500  0.500  0.500

***

A relaxed structure of Mg2CdB2Ir5, computed with PBE.

Calculated values
- Formation enthalpy at 0 K: -321.6 meV per atom

a = 9.736 Å, b = 9.736 Å, c = 2.971 Å
α = 90.00°, β = 90.00°, γ = 90.00°
Positions (direct):
Mg  0.179  0.321  0.000
Mg  0.321  0.821  0.000
Mg  0.679  0.179  0.000
Mg  0.821  0.679  0.000
Cd  0.000  0.000  0.000
Cd  0.500  0.500  0.000
B  0.124  0.624  0.000
B  0.376  0.124  0.000
B  0.624  0.876  0.000
B  0.876  0.376  0.000
Ir  0.000  0.500  0.500
Ir  0.069  0.773  0.500
Ir  0.227  0.069  0.500
Ir  0.273  0.569  0.500
Ir  0.431  0.273  0.500
Ir  0.500  0.000  0.500
Ir  0.569  0.727  0.500
Ir  0.727  0.431  0.500
Ir  0.773  0.931  0.500
Ir  0.931  0.227  0.500

***

These records have Fermi-level density of states values of 7.4; 4.2; 0.9; 21.5; 2.2; 5.4; 6.3; 6.9 states/eV/cell, in the order they appear.
These records have electronic total energy values of -6.039; -8.328; -3.348; -5.302; -6.424; -6.835; -5.727; -6.498 eV per atom, in the order they appear.